# 1
PBE VSbI2N, relaxed; energy above the lowest structure with this stoichiometry = 0 meV/atom; calculated volume = 24.325 Å³/atom; theoretical density = 6.01 Mg/m³; E_tot = -4.71 eV/atom; formation energy (no corrections) = 222 meV/atom
1.0
5.740 0.000 0.000
0.000 5.740 0.000
0.000 0.000 3.691
V Sb I N
1 1 2 1
Cartesian
0.000 0.000 0.000
2.870 2.870 1.846
0.000 2.870 0.000
2.870 0.000 0.000
0.000 0.000 1.846

=====

# 2
PBE SbWIN2, relaxed; energy above the lowest structure with this stoichiometry = 0 meV/atom; calculated volume = 19.132 Å³/atom; theoretical density = 7.99 Mg/m³; E_tot = -6.11 eV/atom; formation energy (no corrections) = 945 meV/atom
1.0
4.102 0.000 0.000
0.000 4.102 0.000
0.000 0.000 5.685
Sb W I N
1 1 1 2
Cartesian
0.000 0.000 0.000
2.051 2.051 2.842
2.051 2.051 0.000
0.000 2.051 2.842
2.051 0.000 2.842

=====

# 3
PBE SbWI2N, relaxed; energy above the lowest structure with this stoichiometry = 1195 meV/atom; calculated volume = 20.928 Å³/atom; theoretical density = 9.10 Mg/m³; E_tot = -3.94 eV/atom; formation energy (no corrections) = 1758 meV/atom
1.0
4.701 0.000 0.000
0.000 4.701 0.000
0.000 0.000 4.735
Sb W I N
1 1 2 1
Cartesian
0.000 0.000 0.000
2.351 2.351 0.000
0.000 2.351 2.367
2.351 0.000 2.367
0.000 0.000 2.367

=====

# 4
PBE SbWIN2, relaxed; energy above the lowest structure with this stoichiometry = 1177 meV/atom; calculated volume = 23.958 Å³/atom; theoretical density = 6.38 Mg/m³; E_tot = -4.93 eV/atom; formation energy (no corrections) = 2122 meV/atom
1.0
4.071 0.000 0.000
0.000 4.071 0.000
0.000 0.000 7.229
Sb W I N
1 1 1 2
Cartesian
0.000 0.000 0.000
2.035 2.035 3.615
0.000 0.000 3.615
0.000 2.035 0.000
2.035 0.000 0.000

=====

# 5
PBE SbWI2N, relaxed; energy above the lowest structure with this stoichiometry = 0 meV/atom; calculated volume = 25.067 Å³/atom; theoretical density = 7.60 Mg/m³; E_tot = -5.14 eV/atom; formation energy (no corrections) = 563 meV/atom
1.0
5.710 0.000 0.000
0.000 5.710 0.000
0.000 0.000 3.844
Sb W I N
1 1 2 1
Cartesian
0.000 0.000 0.000
2.855 2.855 1.922
0.000 2.855 1.922
2.855 0.000 1.922
2.855 2.855 0.000

=====

# 6
PBE SbWI2N, relaxed; energy above the lowest structure with this stoichiometry = 1335 meV/atom; calculated volume = 30.043 Å³/atom; theoretical density = 6.34 Mg/m³; E_tot = -3.80 eV/atom; formation energy (no corrections) = 1898 meV/atom
1.0
5.317 0.000 0.000
0.000 5.317 0.000
0.000 0.000 5.314
Sb W I N
1 1 2 1
Cartesian
0.000 0.000 0.000
0.000 0.000 2.657
0.000 2.658 2.657
2.658 0.000 2.657
2.658 2.658 0.000